# MgGa3Ag4 (PBE, optimized geometry)
data_MgGa3Ag4
_space_group_name_H-M_alt 'C 1 2/m 1'
_space_group_IT_number 12
_cell_length_a 18.915
_cell_length_b 3.079
_cell_length_c 5.089
_cell_angle_alpha 90.00
_cell_angle_beta 105.26
_cell_angle_gamma 90.00
loop_
_space_group_symop_operation_xyz
'x,y,z'
'-x,-y,-z'
'-x,y,-z'
'x,-y,z'
'x+1/2,y+1/2,z'
'-x+1/2,-y+1/2,-z'
'-x+1/2,y+1/2,-z'
'x+1/2,-y+1/2,z'
loop_
_atom_site_label
_atom_site_fract_x
_atom_site_fract_y
_atom_site_fract_z
Mg1 0.000 0.000 0.000
Ga1 0.000 0.500 0.500
Ga2 0.249 0.000 0.249
Ag1 0.126 0.000 0.457
Ag2 0.126 0.500 0.956
# V: 286.0 Å³ per cell
# N(E_F): 0.347 states/eV per atom
# size of the total moment: 0.000 μB per atom
# calculated formation energy: -52 meV/atom